# 1
# SrLaAuSe2

A relaxed structure of SrLaAuSe2 (PBE, Alexandria via LeMat-Bulk).

Summary:
V   36.80 A^3/atom
Formation energy without anion corrections   -1.094 eV/atom

Cell: 5.7309 5.7309 5.6017 Å, 90.00 90.00 90.00°
With the nearest neighbours (Å) after each atom.
Space group P4/mmm (No. 123)
Asymmetric unit:
1 Sr 0.0000 0.0000 0.0000  8 Se 4.01, 4 Au 4.05
2 La 0.5000 0.5000 0.5000  2 Au 2.80, 4 Se 2.87
3 Au 0.5000 0.5000 0.0000  2 La 2.80
4 Se 0.0000 0.5000 0.5000  2 La 2.87

# 2
# La3Si4Au7

A relaxed structure of La3Si4Au7 (PBE, Alexandria via LeMat-Bulk).

Summary:
V   20.48 A^3/atom
Formation energy without anion corrections   -0.613 eV/atom

Cell: 16.4804 4.4428 9.6522 Å, 90.00 125.75 90.00°
With the nearest neighbours (Å) after each atom.
Space group C2/m (No. 12)
Asymmetric unit:
1 La 0.0000 0.0000 0.0000  6 Si 3.19-3.35, 10 Au 3.24-3.51
2 La 0.1880 0.5000 0.6901  4 Si 3.16-3.19, 10 Au 3.18-3.43
3 Si 0.1240 0.0000 0.8420  6 Au 2.68-2.84
4 Si 0.1652 0.5000 0.2867  5 Au 2.55-2.67
5 Au 0.0000 0.0000 0.5000  2 Si 2.68
6 Au 0.0086 0.5000 0.2874  3 Si 2.59-2.84, 1 Au 2.79
7 Au 0.1557 0.0000 0.4127  3 Si 2.58-2.67
8 Au 0.1754 0.5000 0.0330  4 Si 2.55-2.78, 1 Au 2.79

# 3
# LaSiAu2

A relaxed structure of LaSiAu2 (PBE, Alexandria via LeMat-Bulk).

Summary:
V   23.26 A^3/atom
Formation energy without anion corrections   -0.492 eV/atom

Cell: 3.7639 4.5143 5.4754 Å, 90.00 90.00 90.00°
With the nearest neighbours (Å) after each atom.
Space group Pmmm (No. 47)
Asymmetric unit:
1 La 0.0000 0.0000 0.0000  8 Au 3.24, 4 Si 3.32
2 Si 0.5000 0.0000 0.5000  4 Au 2.64
3 Au 0.5000 0.5000 0.2510  2 Si 2.64, 2 Au 2.73-2.75

# 4
# LaSiAu2

A relaxed structure of LaSiAu2 (PBE, Alexandria via LeMat-Bulk).

Summary:
V   22.13 A^3/atom
Formation energy without anion corrections   -0.353 eV/atom

Cell: 4.5129 4.5129 4.3464 Å, 90.00 90.00 90.00°
With the nearest neighbours (Å) after each atom.
Space group P4/mmm (No. 123)
Asymmetric unit:
1 La 0.0000 0.0000 0.0000  8 Au 3.13, 4 Si 3.19
2 Si 0.5000 0.5000 0.0000  8 Au 3.13, 4 La 3.19
3 Au 0.0000 0.5000 0.5000  4 La 3.13, 4 Si 3.13, 4 Au 3.19

# 5
# LaSi3Au

A relaxed structure of LaSi3Au (PBE, Alexandria via LeMat-Bulk).

Summary:
V   20.23 A^3/atom
Formation energy without anion corrections   -0.471 eV/atom

Cell: 4.3717 4.1648 11.2612 Å, 90.00 99.32 90.00°
With the nearest neighbours (Å) after each atom.
Space group P2/m (No. 10)
Asymmetric unit:
1 La 0.1867 0.0000 0.3415  9 Si 3.11-3.36, 4 Au 3.19-3.40
2 Si 0.0998 0.5000 0.1044  3 Si 2.37-2.55, 2 Au 2.46-2.64
3 Si 0.2739 0.5000 0.5521  2 Si 2.46-2.49, 1 Au 2.51
4 Si 0.4326 0.0000 0.0973  3 Si 2.36-2.55, 2 Au 2.64
5 Au 0.3272 0.5000 0.7776  5 Si 2.46-2.64

# 6
# LaSi2Au

A relaxed structure of LaSi2Au (PBE, Alexandria via LeMat-Bulk).

Summary:
V   20.63 A^3/atom
Formation energy without anion corrections   -0.660 eV/atom

Cell: 14.0072 4.3364 10.8666 Å, 90.00 90.00 90.00°
With the nearest neighbours (Å) after each atom.
Space group Pnma (No. 62)
Asymmetric unit:
1 La 0.0497 0.2500 0.2494  9 Si 3.15-3.45, 4 Au 3.30-3.38
2 La 0.1961 0.7500 0.9801  10 Si 3.17-3.32, 4 Au 3.27-3.54
3 Si 0.0253 0.2500 0.9611  3 Si 2.34-2.43
4 Si 0.1143 0.2500 0.7785  2 Si 2.34-2.43, 1 Au 2.53
5 Si 0.1316 0.7500 0.4728  1 Si 2.36, 3 Au 2.57-2.59
6 Si 0.2121 0.7500 0.2817  2 Si 2.36-2.43, 2 Au 2.60
7 Au 0.0585 0.2500 0.5571  4 Si 2.53-2.68
8 Au 0.2208 0.7500 0.6813  5 Si 2.59-2.84

# 7
# LaSiAu2

A relaxed structure of LaSiAu2 (PBE, Alexandria via LeMat-Bulk).

Summary:
V   22.47 A^3/atom
Formation energy without anion corrections   -0.559 eV/atom

Cell: 4.4481 4.4481 15.7329 Å, 90.00 90.00 120.00°
With the nearest neighbours (Å) after each atom.
Space group R3m (No. 160, hexagonal axes)
Asymmetric unit:
1 La 0.0000 0.0000 0.0000  7 Au 3.12-3.47, 4 Si 3.21-3.32
2 Si 0.0000 0.0000 0.2109  3 Au 2.58
3 Au 0.0000 0.0000 0.5286  3 Si 2.58, 3 Au 2.88
4 Au 0.0000 0.0000 0.7794  3 Au 2.88, 3 Si 3.00, 3 La 3.12

# 8
# LaSi2Au3

A relaxed structure of LaSi2Au3 (PBE, Alexandria via LeMat-Bulk).

Summary:
V   19.99 A^3/atom
Formation energy without anion corrections   -0.529 eV/atom

Cell: 15.9979 4.3455 7.6133 Å, 90.00 115.00 90.00°
With the nearest neighbours (Å) after each atom.
Space group C2/m (No. 12)
Asymmetric unit:
1 La 0.1513 0.0000 0.0736  7 Si 3.24-3.36, 7 Au 3.25-3.43
2 Si 0.0138 0.5000 0.1642  1 Si 2.35, 4 Au 2.55-2.56
3 Si 0.1885 0.0000 0.6865  4 Au 2.48-2.61
4 Au 0.0408 0.0000 0.3594  3 Si 2.56-2.61
5 Au 0.1168 0.5000 0.7275  3 Si 2.54-2.55
6 Au 0.1824 0.5000 0.4127  2 Si 2.48-2.56

# 9
# LaSiAu3

A relaxed structure of LaSiAu3 (PBE, Alexandria via LeMat-Bulk).

Summary:
V   21.37 A^3/atom
E above lowest polymorph   0.000 eV/atom
Formation energy without anion corrections   -0.628 eV/atom

Cell: 6.4125 6.4192 6.0893 Å, 90.00 121.50 90.00°
With the nearest neighbours (Å) after each atom.
Space group Cm (No. 8)
Asymmetric unit:
1 La 0.0000 0.0000 0.0000  12 Au 3.34-3.56, 4 Si 3.50-3.52
2 Si 0.3625 0.0000 0.7250  5 Au 2.39-2.49
3 Au 0.0127 0.2492 0.5257  2 Si 2.49
4 Au 0.0931 0.5000 0.1849  1 Si 2.39

# 10
# LaSi2Au

A relaxed structure of LaSi2Au (PBE, Alexandria via LeMat-Bulk).

Summary:
V   20.90 A^3/atom
Formation energy without anion corrections   -0.175 eV/atom

Cell: 3.4319 3.7036 6.5761 Å, 90.00 90.00 90.00°
With the nearest neighbours (Å) after each atom.
Space group Pmmm (No. 47)
Asymmetric unit:
1 La 0.0000 0.0000 0.0000  8 Si 3.29, 2 Au 3.29, 2 La 3.43
2 Si 0.5000 0.5000 0.3203  1 Si 2.36
3 Au 0.0000 0.0000 0.5000  8 Si 2.79

# 11
# LaSiAu2

A relaxed structure of LaSiAu2 (PBE, Alexandria via LeMat-Bulk).

Summary:
V   25.81 A^3/atom
Formation energy without anion corrections   -0.453 eV/atom

Cell: 5.0373 5.0373 16.2738 Å, 90.00 90.00 90.00°
With the nearest neighbours (Å) after each atom.
Space group I-42d (No. 122)
Asymmetric unit:
1 La 0.0000 0.0000 0.0000  4 Au 3.05
2 Si 0.0000 0.0000 0.5000  4 Au 2.47
3 Au 0.1230 0.2500 0.6250  2 Si 2.47

# 12
# LaSiAu2

A relaxed structure of LaSiAu2 (PBE, Alexandria via LeMat-Bulk).

Summary:
V   21.53 A^3/atom
Formation energy without anion corrections   -0.398 eV/atom

Cell: 4.9131 4.9131 7.1349 Å, 90.00 90.00 90.00°
With the nearest neighbours (Å) after each atom.
Space group I-4m2 (No. 119)
Asymmetric unit:
1 La 0.0000 0.0000 0.0000  4 Si 3.04, 4 Au 3.04
2 Si 0.0000 0.5000 0.7500  4 Au 3.04, 4 La 3.04
3 Au 0.0000 0.0000 0.5000  4 Si 3.04, 4 Au 3.04
4 Au 0.0000 0.5000 0.2500  4 La 3.04, 4 Au 3.04

# 13
# LaSi2Au

A relaxed structure of LaSi2Au (PBE, Alexandria via LeMat-Bulk).

Summary:
V   21.36 A^3/atom
Formation energy without anion corrections   -0.123 eV/atom

Cell: 6.9917 6.9917 6.9917 Å, 90.00 90.00 90.00°
With the nearest neighbours (Å) after each atom.
Space group F-43m (No. 216)
Asymmetric unit:
1 La 0.0000 0.0000 0.0000  4 Au 3.03, 4 Si 3.03
2 Si 0.0000 0.0000 0.5000  4 Si 3.03, 4 Au 3.03
3 Si 0.2500 0.2500 0.7500  4 La 3.03, 4 Si 3.03
4 Au 0.2500 0.2500 0.2500  4 La 3.03, 4 Si 3.03

# 14
# LaSi2Au

A relaxed structure of LaSi2Au (PBE, Alexandria via LeMat-Bulk).

Summary:
V   20.82 A^3/atom
Formation energy without anion corrections   -0.510 eV/atom

Cell: 7.3354 4.2272 5.9018 Å, 90.00 114.45 90.00°
With the nearest neighbours (Å) after each atom.
Space group C2/m (No. 12)
Asymmetric unit:
1 La 0.0000 0.0000 0.0000  6 Si 3.06-3.07
2 Si 0.2184 0.0000 0.6553  3 Au 2.58
3 Au 0.0000 0.5000 0.5000  6 Si 2.58

# 15
# LaSi3Au2

A relaxed structure of LaSi3Au2 (PBE, Alexandria via LeMat-Bulk).

Summary:
V   19.83 A^3/atom
Formation energy without anion corrections   -0.435 eV/atom

Cell: 4.3341 4.3341 25.3380 Å, 90.00 90.00 90.00°
With the nearest neighbours (Å) after each atom.
Space group I4/mmm (No. 139)
Asymmetric unit:
1 La 0.0000 0.0000 0.1468  8 Si 3.30-3.35, 8 Au 3.32-3.40
2 Si 0.0000 0.0000 0.3052  5 Au 2.50-2.58
3 Si 0.0000 0.5000 0.0461  1 Si 2.34, 2 Au 2.51
4 Au 0.0000 0.0000 0.4038  5 Si 2.50-2.51
5 Au 0.0000 0.5000 0.2500  4 Si 2.58

# 16
# La8SiAu2

A relaxed structure of La8SiAu2 (PBE, Alexandria via LeMat-Bulk).

Summary:
V   30.76 A^3/atom
Formation energy without anion corrections   -0.412 eV/atom

Cell: 19.1455 5.2463 7.1772 Å, 90.00 110.15 90.00°
With the nearest neighbours (Å) after each atom.
Space group C2/m (No. 12)
Asymmetric unit:
1 La 0.0154 0.0000 0.2812  1 Au 3.09, 2 Si 3.12, 3 La 3.38-3.39
2 La 0.0877 0.5000 0.9627  1 Si 3.16, 2 Au 3.32, 2 La 3.38
3 La 0.1684 0.5000 0.4993  3 Au 3.04-3.25, 1 Si 3.23
4 La 0.1997 0.0000 0.8403  1 Au 3.07
5 Si 0.0000 0.5000 0.5000  8 La 3.12-3.23
6 Au 0.1695 0.0000 0.2328  7 La 3.04-3.32

# 17
# LaSiAu2

A relaxed structure of LaSiAu2 (PBE, Alexandria via LeMat-Bulk).

Summary:
V   22.34 A^3/atom
Formation energy without anion corrections   -0.291 eV/atom

Cell: 3.7280 3.7280 6.4286 Å, 90.00 90.00 90.00°
With the nearest neighbours (Å) after each atom.
Space group P4/mmm (No. 123)
Asymmetric unit:
1 La 0.0000 0.0000 0.0000  8 Au 3.19, 2 Si 3.21
2 Si 0.0000 0.0000 0.5000  8 Au 3.00, 2 La 3.21
3 Au 0.5000 0.5000 0.2783  1 Au 2.85, 4 Si 3.00, 4 La 3.19

# 18
# LaSiAu4

A relaxed structure of LaSiAu4 (PBE, Alexandria via LeMat-Bulk).

Summary:
V   20.49 A^3/atom
E above lowest polymorph   0.000 eV/atom
Formation energy without anion corrections   -0.457 eV/atom

Cell: 4.3736 16.1465 6.9653 Å, 90.00 90.00 90.00°
With the nearest neighbours (Å) after each atom.
Space group Cmcm (No. 63)
Asymmetric unit:
1 La 0.0000 0.1167 0.2500  9 Au 3.08-3.37, 2 Si 3.24
2 Si 0.0000 0.2351 0.7500  7 Au 2.49-2.74
3 Au 0.0000 0.0741 0.7500  1 Si 2.60
4 Au 0.0000 0.3196 0.0493  3 Si 2.49-2.74
5 Au 0.0000 0.5000 0.0000  6 Au 2.93-3.04

# 19
# LaSi2Au5

A relaxed structure of LaSi2Au5 (PBE, Alexandria via LeMat-Bulk).

Summary:
V   19.79 A^3/atom
Formation energy without anion corrections   -0.406 eV/atom

Cell: 4.3660 7.2136 10.0527 Å, 90.00 90.00 90.00°
With the nearest neighbours (Å) after each atom.
Space group Immm (No. 71)
Asymmetric unit:
1 La 0.0000 0.0000 0.0000  4 Si 3.36, 10 Au 3.40-3.61
2 Si 0.0000 0.5000 0.2457  3 Au 2.42-2.47
3 Au 0.0000 0.2010 0.3542  1 Si 2.42
4 Au 0.0000 0.5000 0.0000  2 Si 2.47

# 20
# La3Si2Au3

A relaxed structure of La3Si2Au3 (PBE, Alexandria via LeMat-Bulk).

Summary:
V   24.71 A^3/atom
Formation energy without anion corrections   -0.783 eV/atom

Cell: 4.3971 11.2819 15.9419 Å, 90.00 90.00 90.00°
With the nearest neighbours (Å) after each atom.
Space group Cmcm (No. 63)
Asymmetric unit:
1 La 0.0000 0.0954 0.2500  5 Au 3.12-3.31, 4 Si 3.23
2 La 0.0000 0.3821 0.0926  4 Si 3.21-3.35, 7 Au 3.22-3.42
3 Si 0.0000 0.3232 0.6133  3 Au 2.55-2.68
4 Au 0.0000 0.0987 0.0546  2 Si 2.55, 1 Au 2.83
5 Au 0.0000 0.1854 0.7500  2 Si 2.68

# 21
# LaSiAu4

A relaxed structure of LaSiAu4 (PBE, Alexandria via LeMat-Bulk).

Summary:
V   21.11 A^3/atom
E above lowest polymorph   0.184 eV/atom
Formation energy without anion corrections   -0.272 eV/atom

Cell: 7.9722 7.9722 7.9722 Å, 90.00 90.00 90.00°
With the nearest neighbours (Å) after each atom.
Space group F-43m (No. 216)
Asymmetric unit:
1 La 0.0000 0.0000 0.0000  12 Au 3.31, 4 Si 3.45
2 Si 0.2500 0.2500 0.7500  12 Au 3.30, 4 La 3.45
3 Au 0.1246 0.1246 0.3754  6 Au 2.81-2.83

# 22
# LaSiAu2

A relaxed structure of LaSiAu2 (PBE, Alexandria via LeMat-Bulk).

Summary:
V   21.71 A^3/atom
Formation energy without anion corrections   -0.355 eV/atom

Cell: 3.5599 3.5599 6.8513 Å, 90.00 90.00 90.00°
With the nearest neighbours (Å) after each atom.
Space group P4mm (No. 99)
Asymmetric unit:
1 La 0.0000 0.0000 0.0000  5 Au 3.15-3.19, 4 Si 3.43
2 Si 0.5000 0.5000 0.3394  5 Au 2.63-2.66
3 Au 0.0000 0.0000 0.4651  4 Si 2.66
4 Au 0.5000 0.5000 0.7240  1 Si 2.63

# 23
# LaSi2Au

A relaxed structure of LaSi2Au (PBE, Alexandria via LeMat-Bulk).

Summary:
V   23.77 A^3/atom
Formation energy without anion corrections   -0.357 eV/atom

Cell: 4.6819 4.6819 17.3528 Å, 90.00 90.00 90.00°
With the nearest neighbours (Å) after each atom.
Space group I-42d (No. 122)
Asymmetric unit:
1 La 0.0000 0.0000 0.0000  4 Si 3.11, 4 Au 3.31
2 Si 0.0939 0.2500 0.6250  2 Si 2.50, 2 Au 2.50
3 Au 0.0000 0.0000 0.5000  4 Si 2.50

# 24
# LaSi2Au

A relaxed structure of LaSi2Au (PBE, Alexandria via LeMat-Bulk).

Summary:
V   20.96 A^3/atom
Formation energy without anion corrections   -0.265 eV/atom

Cell: 4.4553 4.4553 4.2242 Å, 90.00 90.00 90.00°
With the nearest neighbours (Å) after each atom.
Space group P4/mmm (No. 123)
Asymmetric unit:
1 La 0.0000 0.0000 0.0000  8 Si 3.07, 4 Au 3.15
2 Si 0.0000 0.5000 0.5000  4 La 3.07, 4 Au 3.07, 4 Si 3.15
3 Au 0.5000 0.5000 0.0000  8 Si 3.07, 4 La 3.15

no.,M_tot (μB/f.u.)
1,0.00
2,0.00
3,0.00
4,0.00
5,0.00
6,0.00
7,0.00
8,0.00
9,0.00
10,0.00
11,0.00
12,0.00
13,0.00
14,0.00
15,0.00
16,0.00
17,0.00
18,0.00
19,0.00
20,0.00
21,0.00
22,0.00
23,0.00
24,0.00